LaErCuPt | PBE-GGA | relaxed

Output
energy of formation = -690 meV per atom
D(E_F) = 7.1 states/eV/cell

```
data_LaErCuPt
_chemical_formula_sum 'La4 Er4 Cu4 Pt4'
_symmetry_space_group_name_H-M 'F -4 3 m'
_symmetry_Int_Tables_number 216
_symmetry_space_group_name_Hall 'F -4 2 3'
_cell_length_a 7.130
_cell_length_b 7.130
_cell_length_c 7.130
_cell_angle_alpha 90.00
_cell_angle_beta 90.00
_cell_angle_gamma 90.00
loop_
_atom_site_label
_atom_site_fract_x
_atom_site_fract_y
_atom_site_fract_z
La1 0.000 0.000 0.000
Er1 0.000 0.000 0.500
Cu1 0.250 0.250 0.750
Pt1 0.250 0.250 0.250
```